No. 1
K8Rb3Zn | the Alexandria database | PBE | relaxed; space-group type = P6_3mc (186); calculated formation energy = 0.05 eV/atom
1.0
9.384 0.000 0.000
0.000 12.561 -7.252
0.000 0.000 14.504
K Rb Zn
16 6 2
direct
0.985 0.039 0.520
0.985 0.480 0.961
0.985 0.480 0.520
0.485 0.961 0.480
0.485 0.520 0.039
0.485 0.520 0.480
0.772 0.434 0.217
0.772 0.783 0.566
0.772 0.783 0.217
0.272 0.566 0.783
0.272 0.217 0.434
0.272 0.217 0.783
0.656 0.333 0.667
0.156 0.667 0.333
0.018 0.000 0.000
0.518 0.000 0.000
0.765 0.685 0.843
0.765 0.157 0.315
0.765 0.157 0.843
0.265 0.315 0.157
0.265 0.843 0.685
0.265 0.843 0.157
0.035 0.333 0.667
0.535 0.667 0.333

***

No. 2
LaCN2F | the Alexandria database | PBE | relaxed; E_form (uncorrected) = 1.46 eV per atom; energy above the lowest structure with this stoichiometry = 3161.3 meV/atom; space-group type = P4/mmm (123)
1.0
-1.687 0.777 -4.637
-4.651 -0.996 1.525
-0.639 4.487 0.984
N F C La
2 1 1 1
direct
0.000 0.500 0.000
0.500 0.000 0.000
0.000 0.000 0.500
0.500 0.500 0.500
0.000 0.000 0.000

***

No. 3
BeFe2Os | the Alexandria database | PBE | relaxed; space-group type = P4mm (99); calculated formation energy = 0.00 eV/atom
1.0
-0.606 2.619 0.806
-1.675 0.299 -2.232
-4.297 -1.908 2.969
Be Os Fe
1 1 2
direct
0.500 0.500 0.771
0.000 0.000 0.517
0.000 0.000 0.984
0.500 0.500 0.228

***

no.,uncorrected energy (eV/atom)
1,-1.033
2,-5.073
3,-7.974